Material: MnBe2SnHg
Method: DFT, PBE-GGA
State: optimized geometry

Calculated values
Total energy in eV/atom: -3.211
Magnetic moment in μB/f.u.: 3.68
ΔE_f in eV per formula unit: 4.87

Cell lengths 4.545, 5.247, 4.545 Å; angles 90.00, 90.00, 90.00 degrees
Fractional coordinates of all 5 atoms:
Hg1 0.500 0.500 0.500
Mn1 0.000 0.500 0.000
Be1 0.000 0.000 0.500
Be2 0.500 0.000 0.000
Sn1 0.000 0.000 0.000



Material: CsSr2Pd2
Method: DFT, PBE-GGA
State: optimized geometry

Calculated values
Total energy in eV/atom: -3.111
Magnetic moment in μB/f.u.: 0.00
Relative energy among the computed polymorphs in meV/atom: 77
ΔE_f in eV per formula unit: -0.95

Cell lengths 5.699, 5.699, 7.576 Å; angles 67.91, 67.91, 90.00 degrees
Fractional coordinates of all 5 atoms:
Pd1 0.250 0.750 0.500
Pd2 0.750 0.250 0.500
Cs1 0.000 0.000 0.000
Sr1 0.678 0.678 0.644
Sr2 0.322 0.322 0.356



Material: MnSeSCl2
Method: DFT, PBE-GGA
State: optimized geometry

Calculated values
Total energy in eV/atom: -3.700
Magnetic moment in μB/f.u.: 5.63
Relative energy among the computed polymorphs in meV/atom: 148
Energy relative to the elements, uncorrected in eV per atom: 0.39

Cell lengths 5.018, 5.018, 4.960 Å; angles 90.00, 90.00, 90.00 degrees
Fractional coordinates of all 5 atoms:
Se1 0.000 0.000 0.000
Cl1 0.000 0.500 0.000
S1 0.000 0.000 0.500
Mn1 0.500 0.500 0.500
Cl2 0.500 0.000 0.000



Material: PmGa2GeIr
Method: DFT, PBE-GGA
State: optimized geometry

Calculated values
Total energy in eV/atom: -5.426
Magnetic moment in μB/f.u.: 0.00
ΔE_f in eV per formula unit: -2.85

Cell lengths 4.122, 4.049, 6.281 Å; angles 108.80, 109.16, 90.00 degrees
Fractional coordinates of all 5 atoms:
Pm1 0.440 0.440 0.880
Ge1 0.832 0.832 0.663
Ga1 0.687 0.187 0.374
Ga2 0.056 0.056 0.113
Ir1 0.197 0.697 0.395